# PBE Ti3Pd, optimized geometry
# **Crystal system**: orthorhombic
# **DFT total energy**: -59.7 eV per cell
# **ρ**: 6.3 g/cm³
# **Formation energy from the elements**: -0.238 eV per atom
data_Ti3Pd
_space_group_name_H-M_alt 'I m m 2'
_space_group_IT_number 44
_cell_length_a 2.897
_cell_length_b 9.181
_cell_length_c 4.989
_cell_angle_alpha 90.00
_cell_angle_beta 90.00
_cell_angle_gamma 90.00
loop_
_space_group_symop_operation_xyz
'x,y,z'
'-x,-y,z'
'-x,y,z'
'x,-y,z'
'x+1/2,y+1/2,z+1/2'
'-x+1/2,-y+1/2,z+1/2'
'-x+1/2,y+1/2,z+1/2'
'x+1/2,-y+1/2,z+1/2'
loop_
_atom_site_label
_atom_site_fract_x
_atom_site_fract_y
_atom_site_fract_z
Ti1 0.000 0.000 0.000
Ti2 0.000 0.229 0.607
Pd1 0.000 0.500 0.953